# 1
DFT (PBE) results for an optimized crystal structure of Rb2InGeF6. Values from VASP.

Geometry as Quantum ESPRESSO input:
```
&SYSTEM
  ibrav = 0, nat = 10, ntyp = 4
/
ATOMIC_SPECIES
Ge 72.64 Ge.upf
F 19.00 F.upf
Rb 85.47 Rb.upf
In 114.82 In.upf
CELL_PARAMETERS angstrom
-3.7767 -4.7405 2.1494
4.5612 -1.7349 4.1881
-1.3788 -0.4236 6.2634
ATOMIC_POSITIONS crystal
Ge 0.5000 0.5000 0.0000
F 0.2557 0.2557 0.4886
F 0.7443 0.7443 0.5114
F 0.2557 0.2557 0.0000
F 0.7443 0.7443 0.0000
F 0.7443 0.2557 0.0000
F 0.2557 0.7443 0.0000
Rb 0.7500 0.2500 0.5000
Rb 0.2500 0.7500 0.5000
In 0.0000 0.0000 0.0000
```

* E_form (uncorrected): -23.543 eV per formula unit
* symmetry: I4/mmm (139)

# 2
DFT (PBE) results for an optimized crystal structure of InGeRh2F. Values from VASP.

Geometry as Quantum ESPRESSO input:
```
&SYSTEM
  ibrav = 0, nat = 5, ntyp = 4
/
ATOMIC_SPECIES
Ge 72.64 Ge.upf
F 19.00 F.upf
Rh 102.91 Rh.upf
In 114.82 In.upf
CELL_PARAMETERS angstrom
4.5680 0.0000 0.0000
0.0000 5.5222 0.0000
0.0000 0.0000 4.5680
ATOMIC_POSITIONS crystal
Ge 0.0000 0.0000 0.0000
F 0.5000 0.5000 0.5000
Rh 0.0000 0.0000 0.5000
Rh 0.5000 0.0000 0.0000
In 0.0000 0.5000 0.0000
```

* E_form (uncorrected): 1.769 eV per formula unit
* symmetry: P4/mmm (123)

no.,density of states at the Fermi level (states/eV/f.u.),electronic total energy (eV/atom)
1,4.436,-4.406
2,8.588,-4.432